Here is a geometry-optimized NdSm4Y4 structure from the Alexandria database. Energies are from PBE-GGA. Values from VASP.

## Properties
- Total DFT energy (no corrections): -0.2015 hartree per atom
- Symmetry: I4/mmm
- Energy of formation from the pure elements: 0.016 eV per atom
- Crystal system: tetragonal

Structure (Quantum ESPRESSO input):
```
&SYSTEM
  ibrav = 0, nat = 9, ntyp = 3
/
ATOMIC_SPECIES
Nd 144.24 Nd.upf
Sm 150.36 Sm.upf
Y 88.91 Y.upf
CELL_PARAMETERS angstrom
-3.3547 2.2965 3.0682
-7.3712 -2.7797 -1.7515
-0.7926 -4.4458 6.6885
ATOMIC_POSITIONS angstrom
Nd 0.0000 0.0000 0.0000
Sm -4.9580 -0.8784 3.6914
Sm -6.5605 -4.0506 4.3137
Sm -5.1777 -3.3350 1.0626
Sm -6.3408 -1.5940 6.9426
Y -7.9418 -4.7669 7.5671
Y -3.5767 -0.1621 0.4381
Y -2.7651 -1.4315 6.5031
Y -8.7534 -3.4975 1.5020
```

---

Here is a geometry-optimized NdSm6Y4 structure from the Alexandria database. Energies are from PBE-GGA. Values from VASP.

## Properties
- Energy above the lowest structure with this stoichiometry: 28 meV/atom
- Total DFT energy (no corrections): -0.1851 hartree per atom
- Symmetry: I-42m
- Energy of formation from the pure elements: 0.321 eV per atom
- Crystal system: tetragonal

Structure (Quantum ESPRESSO input):
```
&SYSTEM
  ibrav = 0, nat = 11, ntyp = 3
/
ATOMIC_SPECIES
Nd 144.24 Nd.upf
Sm 150.36 Sm.upf
Y 88.91 Y.upf
CELL_PARAMETERS angstrom
-1.5979 2.3559 -6.0639
-6.3314 -1.9979 0.8922
2.0524 7.4252 6.0441
ATOMIC_POSITIONS angstrom
Nd -3.9646 0.1790 -2.5859
Sm -3.7433 3.6569 -2.6845
Sm -5.5234 2.0196 -0.0685
Sm -2.7345 5.0123 1.2764
Sm -3.1657 -0.9989 0.4461
Sm 0.2475 4.8777 3.2214
Sm -0.7989 1.1780 -3.0319
Y -2.9448 4.2629 4.8100
Y -7.0009 2.2364 -3.3643
Y 0.0972 7.0609 0.3398
Y -1.9052 2.0063 -0.0407
```

---

Here is a geometry-optimized Nd3Sm2Y5 structure from the Alexandria database. Energies are from PBE-GGA. Values from VASP.

## Properties
- Energy above the lowest structure with this stoichiometry: 106 meV/atom
- Total DFT energy (no corrections): -0.1957 hartree per atom
- Symmetry: Ibam
- Energy of formation from the pure elements: 0.280 eV per atom
- Crystal system: orthorhombic

Structure (Quantum ESPRESSO input):
```
&SYSTEM
  ibrav = 0, nat = 20, ntyp = 3
/
ATOMIC_SPECIES
Nd 144.24 Nd.upf
Sm 150.36 Sm.upf
Y 88.91 Y.upf
CELL_PARAMETERS angstrom
-1.6572 4.3255 4.5112
-2.1822 -5.6628 9.2618
9.1997 5.5378 2.7034
ATOMIC_POSITIONS angstrom
Nd 6.8226 2.8978 8.9952
Nd 2.0893 1.2181 13.5007
Nd -1.4624 1.3026 7.4812
Nd 3.2709 2.9824 2.9757
Nd -0.4143 1.0814 1.1278
Nd -1.2429 3.2441 3.3834
Sm 0.8434 -1.5605 6.4398
Sm 3.8427 4.3692 6.4897
Sm 4.5168 5.7609 10.0366
Sm 1.5175 -0.1687 9.9866
Y 7.2566 5.4393 6.7178
Y -1.1692 0.1258 13.3510
Y -1.8964 -1.2388 9.7586
Y 6.5295 4.0747 3.1254
Y 4.4161 2.0784 11.2137
Y 0.9442 2.1220 5.2627
Y 2.2658 3.1816 9.3660
Y 3.0944 1.0188 7.1104
Y 0.1156 4.2848 7.5183
Y 5.2447 -0.0843 8.9581
```

---

Here is a geometry-optimized Nd5Sm2Y6 structure from the Alexandria database. Energies are from PBE-GGA. Values from VASP.

## Properties
- Total DFT energy (no corrections): -0.2004 hartree per atom
- Symmetry: Pbam
- Energy of formation from the pure elements: 0.091 eV per atom
- Crystal system: orthorhombic

Structure (Quantum ESPRESSO input):
```
&SYSTEM
  ibrav = 0, nat = 26, ntyp = 3
/
ATOMIC_SPECIES
Nd 144.24 Nd.upf
Sm 150.36 Sm.upf
Y 88.91 Y.upf
CELL_PARAMETERS angstrom
3.6250 0.0000 0.0000
0.0000 11.8093 0.0000
0.0000 0.0000 20.7294
ATOMIC_POSITIONS angstrom
Nd 1.8125 3.5355 9.3409
Nd 1.8125 8.2738 11.3886
Nd 1.8125 9.4402 1.0238
Nd 1.8125 2.3691 19.7056
Nd 1.8125 6.9034 5.6816
Nd 1.8125 4.9059 15.0479
Nd 1.8125 0.9987 4.6831
Nd 1.8125 10.8106 16.0463
Nd 1.8125 5.9047 0.0000
Nd 1.8125 0.0000 10.3647
Sm 0.0000 3.8850 5.9666
Sm 0.0000 7.9244 14.7629
Sm 0.0000 9.7896 4.3981
Sm 0.0000 2.0197 16.3313
Y 0.0000 0.9446 7.6319
Y 0.0000 10.8647 13.0975
Y 0.0000 6.8493 2.7328
Y 0.0000 4.9601 17.9966
Y 1.8125 3.8044 2.7915
Y 1.8125 8.0049 17.9379
Y 1.8125 9.7091 7.5732
Y 1.8125 2.1002 13.1562
Y 0.0000 6.6068 8.7042
Y 0.0000 5.2025 12.0252
Y 0.0000 0.7021 1.6605
Y 0.0000 11.1072 19.0690
```

---

Here is a geometry-optimized NdSm4Y10 structure from the Alexandria database. Energies are from PBE-GGA. Values from VASP.

## Properties
- Total DFT energy (no corrections): -0.1993 hartree per atom
- Symmetry: I4/m
- Energy of formation from the pure elements: 0.464 eV per atom
- Crystal system: tetragonal

Structure (Quantum ESPRESSO input):
```
&SYSTEM
  ibrav = 0, nat = 15, ntyp = 3
/
ATOMIC_SPECIES
Nd 144.24 Nd.upf
Sm 150.36 Sm.upf
Y 88.91 Y.upf
CELL_PARAMETERS angstrom
9.8591 0.0000 4.4518
4.9295 7.0172 2.2259
2.0417 0.0000 8.6214
ATOMIC_POSITIONS angstrom
Nd 0.0000 0.0000 0.0000
Sm 9.1986 4.6963 5.9145
Sm 12.8559 5.4124 10.9579
Sm 3.9744 1.6049 4.3412
Sm 7.6317 2.3210 9.3846
Y 5.9504 3.5086 6.5366
Y 10.4978 2.3901 11.7307
Y 10.5443 0.6462 7.3837
Y 9.6237 6.3710 9.4225
Y 12.8538 4.6271 6.5131
Y 6.3325 4.6271 3.5684
Y 10.8799 3.5086 8.7625
Y 3.9765 2.3901 8.7860
Y 7.2066 0.6462 5.8766
Y 6.2860 6.3710 7.9154
```

---

Here is a geometry-optimized Nd8Sm3Y2 structure from the Alexandria database. Energies are from PBE-GGA. Values from VASP.

## Properties
- Energy above the lowest structure with this stoichiometry: 31 meV/atom
- Total DFT energy (no corrections): -0.1768 hartree per atom
- Symmetry: C2/m
- Energy of formation from the pure elements: 0.207 eV per atom
- Crystal system: monoclinic

Structure (Quantum ESPRESSO input):
```
&SYSTEM
  ibrav = 0, nat = 13, ntyp = 3
/
ATOMIC_SPECIES
Nd 144.24 Nd.upf
Sm 150.36 Sm.upf
Y 88.91 Y.upf
CELL_PARAMETERS angstrom
-3.7695 2.3626 -3.7440
-2.7417 -7.0484 -1.6874
-5.5735 4.4182 8.3930
ATOMIC_POSITIONS angstrom
Nd -7.5318 -0.8553 -1.9814
Nd -4.5529 0.5877 4.9430
Nd -1.8539 0.2394 2.0123
Nd -10.2308 -0.5070 0.9493
Nd -7.9184 0.4247 3.7193
Nd -6.7822 3.3455 4.4185
Nd -5.3026 -3.6130 -1.4569
Nd -4.1664 -0.6923 -0.7577
Sm -1.8848 1.1813 -1.8720
Sm -0.7854 -2.0191 -0.4834
Sm -1.9563 -5.0293 -1.2040
Y -5.2357 1.6147 1.7626
Y -6.8490 -1.8822 1.1990
```

---

Here is a geometry-optimized Nd5Sm4Y2 structure from the Alexandria database. Energies are from PBE-GGA. Values from VASP.

## Properties
- Energy above the lowest structure with this stoichiometry: 0 meV/atom
- Total DFT energy (no corrections): -0.1817 hartree per atom
- Symmetry: C2/m
- Energy of formation from the pure elements: 0.114 eV per atom
- Crystal system: monoclinic

Structure (Quantum ESPRESSO input):
```
&SYSTEM
  ibrav = 0, nat = 11, ntyp = 3
/
ATOMIC_SPECIES
Nd 144.24 Nd.upf
Sm 150.36 Sm.upf
Y 88.91 Y.upf
CELL_PARAMETERS angstrom
-6.3321 1.4085 3.6816
-6.1510 -1.0210 -2.6332
-4.7515 -8.6113 2.6778
ATOMIC_POSITIONS angstrom
Nd -7.2677 -6.6963 1.8657
Nd -9.9669 -1.5275 1.8605
Nd -5.4513 -4.8162 0.0223
Nd -10.0395 -6.0798 3.4773
Nd -7.1951 -2.1441 0.2489
Sm -9.7882 -4.7654 0.0992
Sm -7.4464 -3.4585 3.6270
Sm -13.2350 -7.4544 2.7552
Sm -3.9996 -0.7694 0.9710
Y -10.2199 -8.2104 0.6747
Y -7.0147 -0.0135 3.0515
```

---

Here is a geometry-optimized Nd2Sm12Y5 structure from the Alexandria database. Energies are from PBE-GGA. Values from VASP.

## Properties
- Energy above the lowest structure with this stoichiometry: 0 meV/atom
- Total DFT energy (no corrections): -0.1865 hartree per atom
- Symmetry: C2/m
- Energy of formation from the pure elements: 0.110 eV per atom
- Crystal system: monoclinic

Structure (Quantum ESPRESSO input):
```
&SYSTEM
  ibrav = 0, nat = 19, ntyp = 3
/
ATOMIC_SPECIES
Nd 144.24 Nd.upf
Sm 150.36 Sm.upf
Y 88.91 Y.upf
CELL_PARAMETERS angstrom
11.7024 0.0000 0.0000
-5.8512 6.4961 0.5506
0.0000 3.4735 8.7692
ATOMIC_POSITIONS angstrom
Nd 8.5236 0.0000 0.0000
Nd 3.1788 0.0000 0.0000
Sm 0.0000 1.7468 0.6384
Sm -2.9686 6.7520 7.3816
Sm 2.9686 6.7520 7.3816
Sm -2.5813 6.5493 4.0983
Sm 2.5813 6.5493 4.0983
Sm 0.0000 8.2045 7.3072
Sm 5.8512 1.7652 2.0126
Sm 8.4325 3.4204 5.2216
Sm 3.2699 3.4204 5.2216
Sm 8.8198 3.2177 1.9382
Sm 2.8826 3.2177 1.9382
Sm 5.8512 8.2228 8.6814
Y 0.0000 4.8462 6.0269
Y 0.0000 4.8538 2.3708
Y 0.0000 1.7368 4.3846
Y 5.8512 5.1159 6.9490
Y 5.8512 5.1235 3.2929
```

---

Here is a geometry-optimized NdSm5Y structure from the Alexandria database. Energies are from PBE-GGA. Values from VASP.

## Properties
- Energy above the lowest structure with this stoichiometry: 0 meV/atom
- Total DFT energy (no corrections): -0.1768 hartree per atom
- Symmetry: C2/c
- Energy of formation from the pure elements: 0.164 eV per atom
- Crystal system: monoclinic

Structure (Quantum ESPRESSO input):
```
&SYSTEM
  ibrav = 0, nat = 14, ntyp = 3
/
ATOMIC_SPECIES
Nd 144.24 Nd.upf
Sm 150.36 Sm.upf
Y 88.91 Y.upf
CELL_PARAMETERS angstrom
-0.0140 -4.1509 5.5117
-4.6238 -5.0965 0.5051
4.4357 -12.9398 -1.6403
ATOMIC_POSITIONS angstrom
Nd 2.0235 -14.1202 2.8811
Nd -2.2254 -8.0669 1.4954
Sm 1.4844 -12.4382 -0.1759
Sm -0.9642 -12.6891 3.1495
Sm 0.3991 -5.7360 1.8742
Sm -0.5580 -14.6497 0.0774
Sm -1.5876 -3.0552 1.9039
Sm 1.3856 -19.1319 2.4727
Sm 0.3560 -7.5374 4.2991
Sm -0.6011 -16.4511 2.5023
Sm 0.7622 -9.4980 1.2271
Sm -1.6864 -9.7489 4.5524
Y 0.0000 0.0000 0.0000
Y 2.2179 -6.4699 -0.8201
```

---

Here is a geometry-optimized Nd9Sm3Y2 structure from the Alexandria database. Energies are from PBE-GGA. Values from VASP.

## Properties
- Total DFT energy (no corrections): -0.1754 hartree per atom
- Symmetry: P6_3/m
- Energy of formation from the pure elements: 0.227 eV per atom
- Crystal system: hexagonal

Structure (Quantum ESPRESSO input):
```
&SYSTEM
  ibrav = 0, nat = 28, ntyp = 3
/
ATOMIC_SPECIES
Nd 144.24 Nd.upf
Sm 150.36 Sm.upf
Y 88.91 Y.upf
CELL_PARAMETERS angstrom
-7.9910 -4.3081 -0.9664
7.7692 -4.2315 -2.2546
1.0966 -4.9772 13.1202
ATOMIC_POSITIONS angstrom
Nd 1.3372 -8.5102 7.9848
Nd -0.6842 -7.9095 3.9625
Nd -1.1389 -5.8456 -1.4782
Nd 4.7680 -9.3431 7.3821
Nd -4.7537 -5.1157 -0.8992
Nd -4.2990 -7.1796 4.5415
Nd -2.1798 -2.5235 -0.1310
Nd -1.7250 -4.5875 5.3097
Nd -3.0347 -7.4004 1.2213
Nd 3.9096 -6.1164 8.6779
Nd 3.0546 -10.9933 10.0302
Nd 2.5999 -8.9294 4.5894
Nd 5.1738 -6.3372 5.3576
Nd 5.6285 -8.4012 10.7984
Nd -3.8932 -4.1737 2.5171
Nd 1.5590 -5.6073 5.9366
Nd 2.0137 -7.6712 11.3774
Nd -0.4624 -5.0066 1.9144
Sm 0.7390 -7.9915 0.6816
Sm 6.0624 -5.8597 1.0454
Sm 1.5685 -2.6528 2.6375
Sm -0.6936 -10.8640 7.2616
Sm -5.1876 -7.6571 8.8538
Sm 0.1358 -5.5253 9.2175
Y -2.0339 -7.4764 7.0234
Y -1.7964 -8.5545 9.8652
Y 2.6712 -4.9623 0.0339
Y 2.9087 -6.0404 2.8758
```

---

Here is a geometry-optimized Nd2Sm2Y7 structure from the Alexandria database. Energies are from PBE-GGA. Values from VASP.

## Properties
- Energy above the lowest structure with this stoichiometry: 0 meV/atom
- Total DFT energy (no corrections): -0.2101 hartree per atom
- Symmetry: C2/m
- Energy of formation from the pure elements: 0.122 eV per atom
- Crystal system: monoclinic

Structure (Quantum ESPRESSO input):
```
&SYSTEM
  ibrav = 0, nat = 11, ntyp = 3
/
ATOMIC_SPECIES
Nd 144.24 Nd.upf
Sm 150.36 Sm.upf
Y 88.91 Y.upf
CELL_PARAMETERS angstrom
3.5280 -0.3175 -0.8301
-0.5818 10.5204 1.5139
0.7764 2.7881 10.2438
ATOMIC_POSITIONS angstrom
Nd 1.5409 8.3199 3.4041
Nd 2.1818 4.6712 7.5234
Sm 1.2153 10.5551 9.1600
Sm 2.5073 2.4360 1.7676
Y 0.3841 10.7431 5.5474
Y 2.6661 6.0759 1.0584
Y 3.3385 2.2480 5.3802
Y 1.0565 6.9151 9.8691
Y 0.0000 0.0000 0.0000
Y 2.2967 8.0326 6.7575
Y 1.4259 4.9585 4.1701
```

---

Here is a geometry-optimized NdSmY4 structure from the Alexandria database. Energies are from PBE-GGA. Values from VASP.

## Properties
- Energy above the lowest structure with this stoichiometry: 0 meV/atom
- Total DFT energy (no corrections): -0.2163 hartree per atom
- Symmetry: C2/c
- Energy of formation from the pure elements: 0.004 eV per atom
- Crystal system: monoclinic

Structure (Quantum ESPRESSO input):
```
&SYSTEM
  ibrav = 0, nat = 12, ntyp = 3
/
ATOMIC_SPECIES
Nd 144.24 Nd.upf
Sm 150.36 Sm.upf
Y 88.91 Y.upf
CELL_PARAMETERS angstrom
-0.3054 -2.1122 -5.8816
5.2573 -1.1021 -3.2084
-1.5458 -9.9047 6.9593
ATOMIC_POSITIONS angstrom
Nd -0.9256 -6.0084 0.5388
Nd 2.6287 -0.5510 -1.6042
Sm 4.4165 -3.6607 -1.6869
Sm -1.0104 -9.4582 -0.4438
Y 0.9575 -8.4178 2.4093
Y 2.6781 -6.0379 0.3608
Y 0.7281 -7.0810 -2.4916
Y 0.8019 -3.6340 -1.5166
Y 2.6042 -9.4849 -0.6142
Y 4.2782 -1.6244 -4.6366
Y -0.8721 -11.4945 2.5059
Y 2.4487 -4.7011 -4.5400
```